Entry 1:
VASP calculation (PBE-GGA) on a relaxed La3NdSb4 crystal. Values from VASP.

Cell and atoms, written as Quantum ESPRESSO input:
```
&SYSTEM
  ibrav = 0, nat = 8, ntyp = 3
/
ATOMIC_SPECIES
La 138.91 La.upf
Nd 144.24 Nd.upf
Sb 121.76 Sb.upf
CELL_PARAMETERS angstrom
4.6016 -6.5053 0.0000
4.6016 6.5053 0.0000
0.0000 0.0000 4.6037
ATOMIC_POSITIONS crystal
La 0.0000 0.0000 0.0000
La 0.0000 0.5000 0.5000
La 0.5000 0.0000 0.5000
Nd 0.5000 0.5000 0.0000
Sb 0.2515 0.7485 0.0000
Sb 0.2529 0.2529 0.5000
Sb 0.7471 0.7471 0.5000
Sb 0.7485 0.2515 0.0000
```

Output
space group	Cmmm (65)

Entry 2:
VASP calculation (PBE-GGA) on a relaxed ZnAuCl2 crystal. Values from VASP.

Cell and atoms, written as Quantum ESPRESSO input:
```
&SYSTEM
  ibrav = 0, nat = 4, ntyp = 3
/
ATOMIC_SPECIES
Zn 65.41 Zn.upf
Au 196.97 Au.upf
Cl 35.45 Cl.upf
CELL_PARAMETERS angstrom
1.6651 0.9613 10.6865
-1.6651 0.9613 10.6865
0.0000 -1.9227 10.6865
ATOMIC_POSITIONS crystal
Zn 0.0000 0.0000 0.0000
Au 0.5000 0.5000 0.5000
Cl 0.2872 0.2872 0.2872
Cl 0.7128 0.7128 0.7128
```

Output
space group	R-3m (166)
polymorph energy (0 for the lowest one)	20.5	meV per atom

Entry 3:
VASP calculation (PBE-GGA) on a relaxed SrZnCuO3 crystal. Values from VASP.

Cell and atoms, written as Quantum ESPRESSO input:
```
&SYSTEM
  ibrav = 0, nat = 12, ntyp = 4
/
ATOMIC_SPECIES
Sr 87.62 Sr.upf
Zn 65.41 Zn.upf
Cu 63.55 Cu.upf
O 16.00 O.upf
CELL_PARAMETERS angstrom
4.4683 -3.2008 0.0000
4.4683 3.2008 0.0000
-2.4901 0.0000 5.8248
ATOMIC_POSITIONS crystal
Sr 0.1966 0.1966 0.1419
Sr 0.8034 0.8034 0.8581
Zn 0.4131 0.4131 0.7407
Zn 0.5869 0.5869 0.2593
Cu 0.2013 0.7987 0.5000
Cu 0.7987 0.2013 0.5000
O 0.1906 0.1906 0.5435
O 0.2015 0.6859 0.1833
O 0.3141 0.7985 0.8167
O 0.6859 0.2015 0.1833
O 0.7985 0.3141 0.8167
O 0.8094 0.8094 0.4565
```

Output
space group	C2/m (12)

Entry 4:
VASP calculation (PBE-GGA) on a relaxed Ba2SiCl crystal. Values from VASP.

Cell and atoms, written as Quantum ESPRESSO input:
```
&SYSTEM
  ibrav = 0, nat = 4, ntyp = 3
/
ATOMIC_SPECIES
Ba 137.33 Ba.upf
Si 28.09 Si.upf
Cl 35.45 Cl.upf
CELL_PARAMETERS angstrom
-2.0806 2.1249 8.4299
2.0806 -2.1249 8.4299
2.0806 2.1249 -8.4299
ATOMIC_POSITIONS crystal
Ba 0.0000 0.0000 0.0000
Ba 0.7620 0.2620 0.5000
Si 0.4068 0.4068 0.0000
Cl 0.1677 0.6677 0.5000
```

Output
space group	Imm2 (44)
polymorph energy (0 for the lowest one)	126.5	meV per atom

Entry 5:
VASP calculation (PBE-GGA) on a relaxed BaCoTe2 crystal. Values from VASP.

Cell and atoms, written as Quantum ESPRESSO input:
```
&SYSTEM
  ibrav = 0, nat = 4, ntyp = 3
/
ATOMIC_SPECIES
Ba 137.33 Ba.upf
Co 58.93 Co.upf
Te 127.60 Te.upf
CELL_PARAMETERS angstrom
3.5421 -4.0010 0.0000
3.5421 4.0010 0.0000
-0.0086 0.0000 4.2607
ATOMIC_POSITIONS crystal
Ba 0.0000 0.0000 0.0000
Co 0.5000 0.5000 0.0000
Te 0.0000 0.5000 0.5000
Te 0.5000 0.0000 0.5000
```

Output
space group	C2/m (12)

Entry 6:
VASP calculation (PBE-GGA) on a relaxed Sb3IrRu crystal. Values from VASP.

Cell and atoms, written as Quantum ESPRESSO input:
```
&SYSTEM
  ibrav = 0, nat = 5, ntyp = 3
/
ATOMIC_SPECIES
Sb 121.76 Sb.upf
Ir 192.22 Ir.upf
Ru 101.07 Ru.upf
CELL_PARAMETERS angstrom
5.0870 0.0000 0.0000
0.0000 5.0870 0.0000
0.0000 0.0000 5.0870
ATOMIC_POSITIONS crystal
Sb 0.0000 0.0000 0.5000
Sb 0.0000 0.5000 0.0000
Sb 0.5000 0.0000 0.0000
Ir 0.0000 0.0000 0.0000
Ru 0.5000 0.5000 0.5000
```

Output
space group	Pm-3m (221)
polymorph energy (0 for the lowest one)	150.6	meV per atom

Entry 7:
VASP calculation (PBE-GGA) on a relaxed AcLa2Cu2Ge2 crystal. Values from VASP.

Cell and atoms, written as Quantum ESPRESSO input:
```
&SYSTEM
  ibrav = 0, nat = 7, ntyp = 4
/
ATOMIC_SPECIES
Ac 227.00 Ac.upf
La 138.91 La.upf
Cu 63.55 Cu.upf
Ge 72.64 Ge.upf
CELL_PARAMETERS angstrom
2.1969 1.2684 9.9911
-2.1969 1.2684 9.9911
0.0000 -2.5367 9.9911
ATOMIC_POSITIONS crystal
Ac 0.0000 0.0000 0.0000
La 0.1346 0.1346 0.1346
La 0.8654 0.8654 0.8654
Cu 0.4087 0.4087 0.4087
Cu 0.5913 0.5913 0.5913
Ge 0.2591 0.2591 0.2591
Ge 0.7409 0.7409 0.7409
```

Output
space group	R-3m (166)
formation energy	-0.49	eV/atom

Entry 8:
VASP calculation (PBE-GGA) on a relaxed Ba2Li3Al12Zn crystal. Values from VASP.

Cell and atoms, written as Quantum ESPRESSO input:
```
&SYSTEM
  ibrav = 0, nat = 18, ntyp = 4
/
ATOMIC_SPECIES
Ba 137.33 Ba.upf
Li 6.94 Li.upf
Al 26.98 Al.upf
Zn 65.41 Zn.upf
CELL_PARAMETERS angstrom
4.2153 2.4337 7.6892
-4.2153 2.4337 7.6892
0.0000 -4.8674 7.6892
ATOMIC_POSITIONS crystal
Ba 0.0789 0.0789 0.0789
Ba 0.9211 0.9211 0.9211
Li 0.0000 0.5000 0.5000
Li 0.5000 0.0000 0.5000
Li 0.5000 0.5000 0.0000
Al 0.1032 0.6620 0.6620
Al 0.3032 0.3032 0.6302
Al 0.3032 0.6302 0.3032
Al 0.3380 0.3380 0.8968
Al 0.3380 0.8968 0.3380
Al 0.3698 0.6968 0.6968
Al 0.6302 0.3032 0.3032
Al 0.6620 0.1032 0.6620
Al 0.6620 0.6620 0.1032
Al 0.6968 0.3698 0.6968
Al 0.6968 0.6968 0.3698
Al 0.8968 0.3380 0.3380
Zn 0.5000 0.5000 0.5000
```

Output
space group	R-3m (166)
formation energy	0.14	eV/atom

Entry 9:
VASP calculation (PBE-GGA) on a relaxed AgMo2As crystal. Values from VASP.

Cell and atoms, written as Quantum ESPRESSO input:
```
&SYSTEM
  ibrav = 0, nat = 4, ntyp = 3
/
ATOMIC_SPECIES
Ag 107.87 Ag.upf
Mo 95.94 Mo.upf
As 74.92 As.upf
CELL_PARAMETERS angstrom
4.5538 -1.4765 0.0000
4.5538 1.4765 0.0000
-0.4678 0.0000 4.9692
ATOMIC_POSITIONS crystal
Ag 0.0000 0.0000 0.0000
Mo 0.2571 0.2571 0.7224
Mo 0.5078 0.5078 0.5051
As 0.7683 0.7683 0.2854
```

Output
space group	Cm (8)
formation energy	0.41	eV/atom

Entry 10:
VASP calculation (PBE-GGA) on a relaxed AcLaPm2N4 crystal. Values from VASP.

Cell and atoms, written as Quantum ESPRESSO input:
```
&SYSTEM
  ibrav = 0, nat = 8, ntyp = 4
/
ATOMIC_SPECIES
Ac 227.00 Ac.upf
La 138.91 La.upf
Pm 145.00 Pm.upf
N 14.01 N.upf
CELL_PARAMETERS angstrom
6.4425 0.0000 0.0000
0.0000 3.7184 0.0000
-2.1478 0.0000 6.1054
ATOMIC_POSITIONS crystal
Ac 0.0000 0.0000 0.0000
La 0.5000 0.5000 0.0000
Pm 0.0000 0.5000 0.5000
Pm 0.5000 0.0000 0.5000
N 0.2509 0.0000 0.7410
N 0.2581 0.5000 0.2631
N 0.7419 0.5000 0.7369
N 0.7491 0.0000 0.2590
```

Output
space group	P2/m (10)

Entry 11:
VASP calculation (PBE-GGA) on a relaxed Ti2CrFeN crystal. Values from VASP.

Cell and atoms, written as Quantum ESPRESSO input:
```
&SYSTEM
  ibrav = 0, nat = 5, ntyp = 4
/
ATOMIC_SPECIES
Ti 47.87 Ti.upf
Cr 52.00 Cr.upf
Fe 55.84 Fe.upf
N 14.01 N.upf
CELL_PARAMETERS angstrom
4.7227 0.0000 0.0000
0.0000 4.7227 0.0000
0.0000 0.0000 3.4122
ATOMIC_POSITIONS crystal
Ti 0.0000 0.5000 0.0000
Ti 0.5000 0.0000 0.0000
Cr 0.0000 0.0000 0.5000
Fe 0.5000 0.5000 0.0000
N 0.5000 0.5000 0.5000
```

Output
space group	P4/mmm (123)

Entry 12:
VASP calculation (PBE-GGA) on a relaxed MnAs2HRu crystal. Values from VASP.

Cell and atoms, written as Quantum ESPRESSO input:
```
&SYSTEM
  ibrav = 0, nat = 5, ntyp = 4
/
ATOMIC_SPECIES
Mn 54.94 Mn.upf
As 74.92 As.upf
H 1.01 H.upf
Ru 101.07 Ru.upf
CELL_PARAMETERS angstrom
4.3129 0.0000 0.0000
0.0000 4.3129 0.0000
0.0000 0.0000 3.2730
ATOMIC_POSITIONS crystal
Mn 0.0000 0.0000 0.0000
As 0.0000 0.5000 0.5000
As 0.5000 0.0000 0.5000
H 0.5000 0.5000 0.5000
Ru 0.5000 0.5000 0.0000
```

Output
space group	P4/mmm (123)

Entry 13:
VASP calculation (PBE-GGA) on a relaxed BaUGeSe5 crystal. Values from VASP.

Cell and atoms, written as Quantum ESPRESSO input:
```
&SYSTEM
  ibrav = 0, nat = 16, ntyp = 4
/
ATOMIC_SPECIES
Ba 137.33 Ba.upf
U 238.03 U.upf
Ge 72.64 Ge.upf
Se 78.96 Se.upf
CELL_PARAMETERS angstrom
4.6078 -6.1061 0.0000
4.6078 6.1061 0.0000
-4.1059 0.0000 9.2276
ATOMIC_POSITIONS crystal
Ba 0.1561 0.8439 0.7500
Ba 0.8439 0.1561 0.2500
U 0.5000 0.5000 0.0000
U 0.5000 0.5000 0.5000
Ge 0.1835 0.8165 0.2500
Ge 0.8165 0.1835 0.7500
Se 0.1206 0.2479 0.9384
Se 0.1746 0.6032 0.3962
Se 0.2479 0.1206 0.4384
Se 0.3968 0.8254 0.1038
Se 0.4206 0.5794 0.7500
Se 0.5794 0.4206 0.2500
Se 0.6032 0.1746 0.8962
Se 0.7521 0.8794 0.5616
Se 0.8254 0.3968 0.6038
Se 0.8794 0.7521 0.0616
```

Output
space group	C2/c (15)

| no. | total moment (μB/atom) | total energy (eV per atom) |
| --- | --- | --- |
| 1 | 0.00 | -5.759 |
| 2 | 0.00 | -2.494 |
| 3 | 0.00 | -5.083 |
| 4 | 0.00 | -3.722 |
| 5 | 0.56 | -3.948 |
| 6 | 0.15 | -5.033 |
| 7 | 0.00 | -4.979 |
| 8 | 0.00 | -2.959 |
| 9 | 0.00 | -6.879 |
| 10 | 0.00 | -7.761 |
| 11 | 0.37 | -7.863 |
| 12 | 0.00 | -5.873 |
| 13 | 0.24 | -5.429 |